[1]
The following is a DFT calculation (PBE) of crystalline LiIn4Pt2 at its relaxed geometry.

Calculated values
E_tot: -0.292 Ry per atom
DFT formation energy: -0.41 eV per atom

Cell and atoms, written as POSCAR:
```
LiIn4Pt2
1.0
-3.425 2.649 -1.188
-2.722 -1.220 -3.355
-7.437 -3.826 4.421
Li In Pt
1 4 2
direct
0.000 0.000 0.000 Li
0.392 0.392 0.825 In
0.201 0.201 0.396 In
0.799 0.799 0.604 In
0.608 0.608 0.175 In
0.097 0.097 0.709 Pt
0.903 0.903 0.291 Pt
```


[2]
The following is a DFT calculation (PBE) of crystalline Er4Mg5Cd at its relaxed geometry.

Calculated values
E_tot: -0.206 Ry per atom
DFT formation energy: -0.08 eV per atom

Cell and atoms, written as POSCAR:
```
Er4Mg5Cd
1.0
3.747 0.000 0.000
0.000 3.747 0.000
0.000 0.000 18.251
Er Mg Cd
4 5 1
direct
0.000 0.000 0.195 Er
0.000 0.000 0.396 Er
0.000 0.000 0.604 Er
0.000 0.000 0.805 Er
0.500 0.500 0.087 Mg
0.500 0.500 0.295 Mg
0.500 0.500 0.500 Mg
0.500 0.500 0.705 Mg
0.500 0.500 0.913 Mg
0.000 0.000 0.000 Cd
```


[3]
The following is a DFT calculation (PBE) of crystalline TlCdCu2I6 at its relaxed geometry.

Calculated values
E_tot: -0.176 Ry per atom
Formation energy from raw total energies: -0.3202 eV per atom

Cell and atoms, written as POSCAR:
```
TlCdCu2I6
1.0
8.366 0.203 0.211
2.934 10.264 -0.033
2.934 -0.413 10.256
Tl Cd Cu I
2 2 4 12
direct
0.250 0.865 0.135 Tl
0.750 0.135 0.865 Tl
0.250 0.193 0.807 Cd
0.750 0.807 0.193 Cd
0.324 0.751 0.626 Cu
0.176 0.374 0.249 Cu
0.676 0.249 0.374 Cu
0.824 0.626 0.751 Cu
0.184 0.937 0.814 I
0.316 0.186 0.063 I
0.816 0.063 0.186 I
0.684 0.814 0.937 I
0.430 0.861 0.393 I
0.070 0.607 0.139 I
0.570 0.139 0.607 I
0.930 0.393 0.861 I
0.080 0.676 0.578 I
0.420 0.422 0.324 I
0.920 0.324 0.422 I
0.580 0.578 0.676 I
```


[4]
The following is a DFT calculation (PBE) of crystalline Sm2Ga2Cu3 at its relaxed geometry.

Calculated values
E_tot: -0.307 Ry per atom
DFT formation energy: -0.21 eV per atom
Offset from the most stable computed form: 177.8 meV per atom

Cell and atoms, written as POSCAR:
```
Sm2Ga2Cu3
1.0
-4.021 0.276 -5.957
-2.784 -4.824 4.551
0.094 6.474 3.131
Sm Ga Cu
4 4 6
direct
0.000 0.000 0.532 Sm
0.500 0.532 0.500 Sm
0.468 0.968 0.968 Sm
0.032 0.500 0.000 Sm
0.000 0.000 0.935 Ga
0.500 0.935 0.500 Ga
0.065 0.565 0.565 Ga
0.435 0.500 0.000 Ga
0.790 0.750 0.040 Cu
0.710 0.250 0.460 Cu
0.960 0.210 0.250 Cu
0.540 0.290 0.750 Cu
0.250 0.040 0.290 Cu
0.750 0.460 0.210 Cu
```


[5]
The following is a DFT calculation (PBE) of crystalline CuRuPtC2 at its relaxed geometry.

Calculated values
E_tot: -0.437 Ry per atom
DFT formation energy: 1.63 eV per atom

Cell and atoms, written as POSCAR:
```
CuRuPtC2
1.0
3.838 0.000 0.000
0.000 4.938 0.000
0.000 0.000 3.838
Ru C Cu Pt
1 2 1 1
direct
0.000 0.000 0.000 Ru
0.000 0.000 0.500 C
0.500 0.000 0.000 C
0.000 0.500 0.000 Cu
0.500 0.500 0.500 Pt
```


[6]
The following is a DFT calculation (PBE) of crystalline Sc2SnOsPd at its relaxed geometry.

Calculated values
E_tot: -0.403 Ry per atom
DFT formation energy: 1.13 eV per atom

Cell and atoms, written as POSCAR:
```
Sc2SnOsPd
1.0
-2.106 -0.246 4.811
1.990 -4.258 0.653
4.283 2.307 1.993
Sc Os Sn Pd
2 1 1 1
direct
0.000 0.000 0.500 Sc
0.500 0.000 0.000 Sc
0.500 0.500 0.500 Os
0.000 0.000 0.000 Sn
0.000 0.500 0.000 Pd
```


[7]
The following is a DFT calculation (PBE) of crystalline In2IrCl2 at its relaxed geometry.

Calculated values
E_tot: -0.260 Ry per atom
Formation energy from raw total energies: 0.0683 eV per atom
Offset from the most stable computed form: 0.0 meV per atom

Cell and atoms, written as POSCAR:
```
In2IrCl2
1.0
6.394 0.000 0.000
0.000 6.394 0.000
0.000 0.000 5.910
Cl Ir In
4 2 4
direct
0.328 0.828 0.000 Cl
0.828 0.672 0.000 Cl
0.672 0.172 0.000 Cl
0.172 0.328 0.000 Cl
0.000 0.000 0.000 Ir
0.500 0.500 0.000 Ir
0.217 0.717 0.500 In
0.717 0.783 0.500 In
0.783 0.283 0.500 In
0.283 0.217 0.500 In
```


[8]
The following is a DFT calculation (PBE) of crystalline CoRe at its relaxed geometry.

Calculated values
E_tot: -0.714 Ry per atom
DFT formation energy: 0.07 eV per atom

Cell and atoms, written as POSCAR:
```
CoRe
1.0
-4.655 0.746 -1.780
-3.993 -1.727 -2.543
-3.602 -2.308 4.356
Co Re
3 3
direct
0.617 0.617 0.280 Co
0.328 0.328 0.339 Co
0.667 0.667 0.665 Co
0.999 0.999 0.009 Re
0.950 0.950 0.594 Re
0.272 0.272 0.947 Re
```


[9]
The following is a DFT calculation (PBE) of crystalline InCuHPt2 at its relaxed geometry.

Calculated values
E_tot: -0.343 Ry per atom

Cell and atoms, written as POSCAR:
```
InCuHPt2
1.0
-2.811 -1.541 2.483
1.397 -3.735 -0.736
2.559 0.344 3.111
H Cu Pt In
1 1 2 1
direct
0.000 0.000 0.000 H
0.000 0.000 0.500 Cu
0.000 0.500 0.000 Pt
0.500 0.000 0.000 Pt
0.500 0.500 0.500 In
```


[10]
The following is a DFT calculation (PBE) of crystalline NiPdPt at its relaxed geometry.

Calculated values
E_tot: -0.419 Ry per atom
DFT formation energy: -0.02 eV per atom
Offset from the most stable computed form: 0.0 meV per atom

Cell and atoms, written as POSCAR:
```
NiPdPt
1.0
2.707 -0.001 0.230
0.001 4.036 0.001
0.702 -0.002 7.843
Ni Pd Pt
2 2 2
direct
0.627 0.415 0.016 Ni
0.546 0.915 0.183 Ni
0.794 0.415 0.687 Pd
0.382 0.915 0.512 Pd
0.979 0.415 0.317 Pt
0.196 0.915 0.882 Pt
```


[11]
The following is a DFT calculation (PBE) of crystalline Er6Ga3O at its relaxed geometry.

Calculated values
E_tot: -0.371 Ry per atom
Formation energy from raw total energies: -0.9097 eV per atom

Cell and atoms, written as POSCAR:
```
Er6Ga3O
1.0
-1.840 -5.811 -1.084
7.588 -3.040 3.418
-4.998 0.218 7.313
Er Ga O
12 6 2
direct
0.185 0.765 0.686 Er
0.685 0.686 0.765 Er
0.207 0.452 0.871 Er
0.707 0.871 0.452 Er
0.984 0.083 0.917 Er
0.716 0.307 0.693 Er
0.216 0.693 0.307 Er
0.484 0.917 0.083 Er
0.207 0.129 0.548 Er
0.707 0.548 0.129 Er
0.185 0.314 0.235 Er
0.685 0.235 0.314 Er
0.524 0.008 0.763 Ga
0.024 0.763 0.008 Ga
0.413 0.482 0.518 Ga
0.913 0.518 0.482 Ga
0.024 0.992 0.237 Ga
0.524 0.237 0.992 Ga
0.040 0.247 0.753 O
0.540 0.753 0.247 O
```